Record 1
Compound: Cd2ReGe
Source: Alexandria via LeMat-Bulk
Functional: PBE-GGA
Structure: relaxed

Summary:
- total energy (eV per atom) = -3.874
- formation energy (kcal/mol of atoms) = 19.60
- total moment (μB per atom) = 0.25

Cell and atoms, written as CIF:
```
data_Cd2ReGe
_chemical_formula_sum 'Cd8 Re4 Ge4'
_space_group_name_H-M_alt 'I -4 2 d'
_space_group_IT_number 122
_space_group_name_Hall 'I -4 2bw'
_cell_length_a 7.911
_cell_length_b 7.911
_cell_length_c 5.195
_cell_angle_alpha 90.00
_cell_angle_beta 90.00
_cell_angle_gamma 90.00
loop_
_atom_site_label
_atom_site_type_symbol
_atom_site_fract_x
_atom_site_fract_y
_atom_site_fract_z
Cd1 Cd 0.239 0.250 0.125
Re1 Re 0.000 0.000 0.000
Ge1 Ge 0.000 0.000 0.500
```



Record 2
Compound: CdRe2GeRh
Source: Alexandria via LeMat-Bulk
Functional: PBE-GGA
Structure: relaxed

Summary:
- total energy (eV per atom) = -4.905
- formation energy (kcal/mol of atoms) = 61.13
- total moment (μB per atom) = 1.14

Cell and atoms, written as CIF:
```
data_CdRe2GeRh
_chemical_formula_sum 'Cd1 Re2 Ge1 Rh1'
_space_group_name_H-M_alt 'P 4/m m m'
_space_group_IT_number 123
_space_group_name_Hall '-P 4 2'
_cell_length_a 4.935
_cell_length_b 4.935
_cell_length_c 4.836
_cell_angle_alpha 90.00
_cell_angle_beta 90.00
_cell_angle_gamma 90.00
loop_
_atom_site_label
_atom_site_type_symbol
_atom_site_fract_x
_atom_site_fract_y
_atom_site_fract_z
Cd1 Cd 0.000 0.000 0.000
Re1 Re 0.000 0.500 0.000
Ge1 Ge 0.500 0.500 0.500
Rh1 Rh 0.000 0.000 0.500
```



Record 3
Compound: TiCdReGe2
Source: Alexandria via LeMat-Bulk
Functional: PBE-GGA
Structure: relaxed

Summary:
- total energy (eV per atom) = -4.660
- formation energy (kcal/mol of atoms) = 33.18
- total moment (μB per atom) = 0.69

Cell and atoms, written as CIF:
```
data_TiCdReGe2
_chemical_formula_sum 'Ti1 Cd1 Re1 Ge2'
_space_group_name_H-M_alt 'P 4/m m m'
_space_group_IT_number 123
_space_group_name_Hall '-P 4 2'
_cell_length_a 4.800
_cell_length_b 4.800
_cell_length_c 5.174
_cell_angle_alpha 90.00
_cell_angle_beta 90.00
_cell_angle_gamma 90.00
loop_
_atom_site_label
_atom_site_type_symbol
_atom_site_fract_x
_atom_site_fract_y
_atom_site_fract_z
Ti1 Ti 0.000 0.000 0.000
Cd1 Cd 0.000 0.000 0.500
Re1 Re 0.500 0.500 0.500
Ge1 Ge 0.000 0.500 0.000
```



Record 4
Compound: TiCdRe2Ge
Source: Alexandria via LeMat-Bulk
Functional: PBE-GGA
Structure: relaxed

Summary:
- total energy (eV per atom) = -5.298
- formation energy (kcal/mol of atoms) = 54.57
- total moment (μB per atom) = 0.46

Cell and atoms, written as CIF:
```
data_TiCdRe2Ge
_chemical_formula_sum 'Ti1 Cd1 Re2 Ge1'
_space_group_name_H-M_alt 'P 4/m m m'
_space_group_IT_number 123
_space_group_name_Hall '-P 4 2'
_cell_length_a 4.961
_cell_length_b 4.961
_cell_length_c 4.592
_cell_angle_alpha 90.00
_cell_angle_beta 90.00
_cell_angle_gamma 90.00
loop_
_atom_site_label
_atom_site_type_symbol
_atom_site_fract_x
_atom_site_fract_y
_atom_site_fract_z
Ti1 Ti 0.000 0.000 0.000
Cd1 Cd 0.500 0.500 0.500
Re1 Re 0.000 0.500 0.500
Ge1 Ge 0.500 0.500 0.000
```



Record 5
Compound: CdGe2Rh2
Source: Alexandria via LeMat-Bulk
Functional: PBE-GGA
Structure: relaxed

Summary:
- offset from the most stable computed form (eV/atom) = 0.017
- total energy (eV per atom) = -5.265
- formation energy (kcal/mol of atoms) = -6.79
- total moment (μB per atom) = 0.00

Cell and atoms, written as CIF:
```
data_CdGe2Rh2
_chemical_formula_sum 'Cd2 Ge4 Rh4'
_space_group_name_H-M_alt 'P 4/m b m'
_space_group_IT_number 127
_space_group_name_Hall '-P 4 2ab'
_cell_length_a 7.336
_cell_length_b 7.336
_cell_length_c 3.010
_cell_angle_alpha 90.00
_cell_angle_beta 90.00
_cell_angle_gamma 90.00
loop_
_atom_site_label
_atom_site_type_symbol
_atom_site_fract_x
_atom_site_fract_y
_atom_site_fract_z
Cd1 Cd 0.000 0.000 0.000
Ge1 Ge 0.149 0.351 0.500
Rh1 Rh 0.146 0.646 0.000
```



Record 6
Compound: Cd2GeRh
Source: Alexandria via LeMat-Bulk
Functional: PBE-GGA
Structure: relaxed

Summary:
- total energy (eV per atom) = -3.441
- formation energy (kcal/mol of atoms) = 0.21
- total moment (μB per atom) = 0.00

Cell and atoms, written as CIF:
```
data_Cd2GeRh
_chemical_formula_sum 'Cd8 Ge4 Rh4'
_space_group_name_H-M_alt 'I -4 2 d'
_space_group_IT_number 122
_space_group_name_Hall 'I -4 2bw'
_cell_length_a 10.320
_cell_length_b 10.320
_cell_length_c 4.645
_cell_angle_alpha 90.00
_cell_angle_beta 90.00
_cell_angle_gamma 90.00
loop_
_atom_site_label
_atom_site_type_symbol
_atom_site_fract_x
_atom_site_fract_y
_atom_site_fract_z
Cd1 Cd 0.001 0.250 0.125
Ge1 Ge 0.000 0.000 0.500
Rh1 Rh 0.000 0.000 0.000
```



Record 7
Compound: CdGeRh
Source: Alexandria via LeMat-Bulk
Functional: PBE-GGA
Structure: relaxed

Summary:
- total energy (eV per atom) = -4.566
- formation energy (kcal/mol of atoms) = -6.27
- total moment (μB per atom) = 0.00

Cell and atoms, written as CIF:
```
data_CdGeRh
_chemical_formula_sum 'Cd4 Ge4 Rh4'
_space_group_name_H-M_alt 'P n m a'
_space_group_IT_number 62
_space_group_name_Hall '-P 2ac 2n'
_cell_length_a 6.860
_cell_length_b 4.178
_cell_length_c 7.301
_cell_angle_alpha 90.00
_cell_angle_beta 90.00
_cell_angle_gamma 90.00
loop_
_atom_site_label
_atom_site_type_symbol
_atom_site_fract_x
_atom_site_fract_y
_atom_site_fract_z
Cd1 Cd 0.011 0.250 0.161
Ge1 Ge 0.201 0.750 0.359
Rh1 Rh 0.154 0.250 0.541
```



Record 8
Compound: CdGe2Rh2
Source: Alexandria via LeMat-Bulk
Functional: PBE-GGA
Structure: relaxed

Summary:
- offset from the most stable computed form (eV/atom) = 0.000
- total energy (eV per atom) = -5.281
- formation energy (kcal/mol of atoms) = -7.17
- total moment (μB per atom) = 0.00

Cell and atoms, written as CIF:
```
data_CdGe2Rh2
_chemical_formula_sum 'Cd2 Ge4 Rh4'
_space_group_name_H-M_alt 'I 4/m m m'
_space_group_IT_number 139
_space_group_name_Hall '-I 4 2'
_cell_length_a 4.256
_cell_length_b 4.256
_cell_length_c 9.793
_cell_angle_alpha 90.00
_cell_angle_beta 90.00
_cell_angle_gamma 90.00
loop_
_atom_site_label
_atom_site_type_symbol
_atom_site_fract_x
_atom_site_fract_y
_atom_site_fract_z
Cd1 Cd 0.000 0.000 0.000
Ge1 Ge 0.000 0.000 0.375
Rh1 Rh 0.000 0.500 0.250
```



Record 9
Compound: Cd2GeRh
Source: Alexandria via LeMat-Bulk
Functional: PBE-GGA
Structure: relaxed

Summary:
- total energy (eV per atom) = -3.101
- formation energy (kcal/mol of atoms) = 8.05
- total moment (μB per atom) = 0.11

Cell and atoms, written as CIF:
```
data_Cd2GeRh
_chemical_formula_sum 'Cd6 Ge3 Rh3'
_space_group_name_H-M_alt 'R -3 m'
_space_group_IT_number 166
_space_group_name_Hall '-R 3 2"'
_cell_length_a 2.8562
_cell_length_b 2.8562
_cell_length_c 33.4836
_cell_angle_alpha 90.00
_cell_angle_beta 90.00
_cell_angle_gamma 120.00
loop_
_atom_site_label
_atom_site_type_symbol
_atom_site_fract_x
_atom_site_fract_y
_atom_site_fract_z
Cd1 Cd 0.0000 0.0000 0.0814
Ge1 Ge 0.0000 0.0000 0.5000
Rh1 Rh 0.0000 0.0000 0.0000
```



Record 10
Compound: CdGe3Rh3
Source: Alexandria via LeMat-Bulk
Functional: PBE-GGA
Structure: relaxed

Summary:
- total energy (eV per atom) = -5.177
- formation energy (kcal/mol of atoms) = 1.93
- total moment (μB per atom) = 0.00

Cell and atoms, written as CIF:
```
data_CdGe3Rh3
_chemical_formula_sum 'Cd2 Ge6 Rh6'
_space_group_name_H-M_alt 'P m -3 n'
_space_group_IT_number 223
_space_group_name_Hall '-P 4n 2 3'
_cell_length_a 6.747
_cell_length_b 6.747
_cell_length_c 6.747
_cell_angle_alpha 90.00
_cell_angle_beta 90.00
_cell_angle_gamma 90.00
loop_
_atom_site_label
_atom_site_type_symbol
_atom_site_fract_x
_atom_site_fract_y
_atom_site_fract_z
Cd1 Cd 0.000 0.000 0.000
Ge1 Ge 0.000 0.250 0.500
Rh1 Rh 0.000 0.500 0.250
```



Record 11
Compound: CdGeRh
Source: Alexandria via LeMat-Bulk
Functional: PBE-GGA
Structure: relaxed

Summary:
- total energy (eV per atom) = -4.571
- formation energy (kcal/mol of atoms) = -6.38
- total moment (μB per atom) = 0.00

Cell and atoms, written as CIF:
```
data_CdGeRh
_chemical_formula_sum 'Cd2 Ge2 Rh2'
_space_group_name_H-M_alt 'P 1 m 1'
_space_group_IT_number 6
_space_group_name_Hall 'P -2y'
_cell_length_a 6.184
_cell_length_b 2.939
_cell_length_c 6.674
_cell_angle_alpha 90.00
_cell_angle_beta 111.75
_cell_angle_gamma 90.00
loop_
_atom_site_label
_atom_site_type_symbol
_atom_site_fract_x
_atom_site_fract_y
_atom_site_fract_z
Cd1 Cd 0.000 0.000 0.000
Cd2 Cd 0.182 0.000 0.492
Ge1 Ge 0.488 0.000 0.984
Ge2 Ge 0.746 0.000 0.495
Rh1 Rh 0.414 0.500 0.248
Rh2 Rh 0.598 0.500 0.740
```



Record 12
Compound: CdGe2Rh
Source: Alexandria via LeMat-Bulk
Functional: PBE-GGA
Structure: relaxed

Summary:
- total energy (eV per atom) = -4.182
- formation energy (kcal/mol of atoms) = 4.47
- total moment (μB per atom) = 0.00

Cell and atoms, written as CIF:
```
data_CdGe2Rh
_chemical_formula_sum 'Cd4 Ge8 Rh4'
_space_group_name_H-M_alt 'I -4 2 d'
_space_group_IT_number 122
_space_group_name_Hall 'I -4 2bw'
_cell_length_a 6.514
_cell_length_b 6.514
_cell_length_c 8.895
_cell_angle_alpha 90.00
_cell_angle_beta 90.00
_cell_angle_gamma 90.00
loop_
_atom_site_label
_atom_site_type_symbol
_atom_site_fract_x
_atom_site_fract_y
_atom_site_fract_z
Cd1 Cd 0.000 0.000 0.000
Ge1 Ge 0.203 0.250 0.625
Rh1 Rh 0.000 0.000 0.500
```



Which formula does entry 8 have? CdGe2Rh2